No. 1
Density functional theory data (GGA-PBE) for a geometry-optimized Tl2ZnCl structure.

Properties
Excess energy over the best structure of this formula in the dataset ... 216 meV/atom
Formation energy (no corrections) ... -0.097 eV per atom

Structure (POSCAR):
```
Tl2ZnCl
1.0
5.413 0.000 0.000
2.706 4.687 0.000
2.706 1.562 4.419
Tl Cl Zn
2 1 1
Direct
0.750 0.750 0.750
0.000 0.000 0.000
0.500 0.500 0.500
0.250 0.250 0.250
```

=====

No. 2
Density functional theory data (GGA-PBE) for a geometry-optimized Be4CoGe structure.

Properties
Energy of formation ... -94 meV per atom

Structure (POSCAR):
```
Be4CoGe
1.0
1.181 -0.664 4.050
-2.449 -2.365 2.578
1.314 -3.871 1.234
Be Ge Co
4 1 1
Direct
0.377 0.870 0.377
0.870 0.377 0.377
0.377 0.377 0.377
0.377 0.377 0.870
0.000 0.000 0.000
0.750 0.750 0.750
```

=====

No. 3
Density functional theory data (GGA-PBE) for a geometry-optimized HfGa2Mo structure.

Properties
Energy of formation ... 67 meV per atom
Excess energy over the best structure of this formula in the dataset ... 392 meV/atom

Structure (POSCAR):
```
HfGa2Mo
1.0
7.175 0.000 0.000
0.000 7.175 0.000
3.587 3.587 2.813
Mo Hf Ga
2 2 4
Direct
0.250 0.750 0.500
0.500 0.500 0.000
0.000 0.000 0.000
0.750 0.250 0.500
0.375 0.391 0.750
0.609 0.125 0.250
0.141 0.625 0.250
0.875 0.859 0.750
```

=====

| no. | raw total energy (eV per cell) |
| --- | --- |
| 1 | -8.24 |
| 2 | -27.19 |
| 3 | -53.14 |